[1]
Below is an optimized crystal structure of RbYZr2Ni, with properties calculated at the PBE level.

Summary:
- ΔE_f (meV/atom) = 1846
- total energy (eV for the cell shown) = -21.1

abc: 5.285 5.285 5.850
angles: 90.00 90.00 90.00
Element x y z (fractional)
Rb 0.000 0.000 0.000
Y 0.000 0.000 0.500
Zr 0.000 0.500 0.500
Zr 0.500 0.000 0.500
Ni 0.500 0.500 0.000

---

[2]
Below is an optimized crystal structure of SmThHgGe, with properties calculated at the PBE level.

Summary:
- ΔE_f (meV/atom) = -437
- total energy (eV for the cell shown) = -18.8

abc: 5.291 5.291 5.291
angles: 60.00 60.00 60.00
Element x y z (fractional)
Sm 0.000 0.000 0.000
Th 0.500 0.500 0.500
Hg 0.750 0.750 0.750
Ge 0.250 0.250 0.250

---

[3]
Below is an optimized crystal structure of CuSbTe2Br, with properties calculated at the PBE level.

Summary:
- formation energy (no corrections) (eV/atom) = 0.354
- total energy (eV for the cell shown) = -14.4

abc: 5.048 5.048 5.523
angles: 90.00 90.00 90.00
Element x y z (fractional)
Cu 0.000 0.000 0.000
Sb 0.000 0.000 0.500
Te 0.000 0.500 0.000
Te 0.500 0.000 0.000
Br 0.500 0.500 0.500

---

Number 1: M_tot 0.284 Bohr magnetons per cell. Number 2: M_tot 0.000 Bohr magnetons per cell. Number 3: M_tot 0.000 Bohr magnetons per cell.